Entry 1:
Here is crystalline TiBePd at its relaxed geometry from Alexandria. Energies are from PBE-GGA.

DFT formation energy = -0.2649 eV per atom
M_tot = 0.00 μB/cell
Crystal system = orthorhombic
Offset from the most stable computed form = 0.62 eV/f.u.
Total energy = -0.216 Ha/atom

Lattice parameters (Å, degrees): 3.260 6.153 8.429 90.00 90.00 90.00
Fractional positions:
1 Ti 0.750 0.839 0.114
2 Ti 0.250 0.161 0.886
3 Ti 0.750 0.661 0.614
4 Ti 0.250 0.339 0.386
5 Be 0.750 0.019 0.405
6 Be 0.250 0.519 0.095
7 Be 0.750 0.481 0.905
8 Be 0.250 0.981 0.595
9 Pd 0.750 0.247 0.642
10 Pd 0.750 0.253 0.142
11 Pd 0.250 0.753 0.358
12 Pd 0.250 0.747 0.858

---

Entry 2:
Here is crystalline TiBePd3 at its relaxed geometry from Alexandria. Energies are from PBE-GGA.

DFT formation energy = -0.1663 eV per atom
M_tot = 0.00 μB/cell
Crystal system = cubic
Offset from the most stable computed form = 1.42 eV/f.u.
Total energy = -0.206 Ha/atom

Lattice parameters (Å, degrees): 4.219 4.219 4.219 90.00 90.00 90.00
Fractional positions:
1 Be 0.000 0.000 0.000
2 Pd 0.000 0.500 0.000
3 Pd 0.000 0.000 0.500
4 Pd 0.500 0.000 0.000
5 Ti 0.500 0.500 0.500

---

Entry 3:
Here is crystalline TiBePd4 at its relaxed geometry from Alexandria. Energies are from PBE-GGA.

DFT formation energy = -0.3664 eV per atom
M_tot = 0.00 μB/cell
Crystal system = trigonal
Total energy = -0.212 Ha/atom

Lattice parameters (Å, degrees): 4.067 4.070 6.972 73.03 73.04 60.03
Fractional positions:
1 Ti 0.500 0.500 0.500
2 Be 0.000 0.000 0.000
3 Pd 0.630 0.631 0.108
4 Pd 0.370 0.369 0.892
5 Pd 0.117 0.117 0.649
6 Pd 0.883 0.883 0.351

---

Entry 4:
Here is crystalline TiBe17Pd at its relaxed geometry from Alexandria. Energies are from PBE-GGA.

DFT formation energy = -0.1749 eV per atom
M_tot = 0.00 μB/cell
Crystal system = trigonal
Total energy = -0.154 Ha/atom

Lattice parameters (Å, degrees): 5.535 5.535 5.535 82.75 82.75 82.75
Fractional positions:
1 Ti 0.661 0.661 0.661
2 Be 0.296 0.002 0.700
3 Be 0.700 0.296 0.002
4 Be 0.002 0.700 0.296
5 Be 0.296 0.700 0.002
6 Be 0.002 0.296 0.700
7 Be 0.700 0.002 0.296
8 Be 0.347 0.854 0.347
9 Be 0.347 0.347 0.854
10 Be 0.854 0.347 0.347
11 Be 0.652 0.166 0.652
12 Be 0.652 0.652 0.166
13 Be 0.166 0.652 0.652
14 Be 0.987 0.509 0.987
15 Be 0.987 0.987 0.509
16 Be 0.509 0.987 0.987
17 Be 0.901 0.901 0.901
18 Be 0.100 0.100 0.100
19 Pd 0.339 0.339 0.339

---

Entry 5:
Here is crystalline TiBeV2Pd at its relaxed geometry from Alexandria. Energies are from PBE-GGA.

DFT formation energy = 0.4721 eV per atom
M_tot = 0.66 μB/cell
Crystal system = tetragonal
Total energy = -0.240 Ha/atom

Lattice parameters (Å, degrees): 4.101 4.327 4.101 90.00 90.00 90.00
Last column: magnetic moment on the atom in μB.
Fractional positions:
1 Be 0.000 0.000 0.000  -0.01
2 Ti 0.000 0.500 0.000  0.04
3 Pd 0.500 0.500 0.500  0.02
4 V 0.000 0.000 0.500  0.26
5 V 0.500 0.000 0.000  0.25

---

Entry 6:
Here is crystalline YTiBe2Pd5 at its relaxed geometry from Alexandria. Energies are from PBE-GGA.

DFT formation energy = -0.5294 eV per atom
M_tot = 0.00 μB/cell
Crystal system = tetragonal
Total energy = -0.215 Ha/atom

Lattice parameters (Å, degrees): 4.412 4.412 7.136 90.00 90.00 90.00
Fractional positions:
1 Y 0.000 0.000 0.500
2 Ti 0.000 0.000 0.000
3 Be 0.500 0.500 0.158
4 Be 0.500 0.500 0.842
5 Pd 0.000 0.500 0.215
6 Pd 0.500 0.000 0.215
7 Pd 0.000 0.500 0.785
8 Pd 0.500 0.000 0.785
9 Pd 0.500 0.500 0.500

---

Entry 7:
Here is crystalline Ti2Be2ZnPd5 at its relaxed geometry from Alexandria. Energies are from PBE-GGA.

DFT formation energy = -0.5088 eV per atom
M_tot = 2.87 μB/cell
Crystal system = tetragonal
Total energy = -0.204 Ha/atom

Lattice parameters (Å, degrees): 3.139 9.435 9.435 90.00 90.00 90.00
Last column: magnetic moment on the atom in μB.
Fractional positions:
1 Ti 0.000 0.675 0.175  0.54
2 Ti 0.000 0.325 0.825  0.54
3 Ti 0.000 0.175 0.325  0.54
4 Ti 0.000 0.825 0.675  0.54
5 Be 0.000 0.125 0.625  0.00
6 Be 0.000 0.875 0.375  0.00
7 Be 0.000 0.625 0.875  0.00
8 Be 0.000 0.375 0.125  0.00
9 Zn 0.000 0.000 0.000  0.00
10 Zn 0.000 0.500 0.500  0.00
11 Pd 0.500 0.209 0.070  0.02
12 Pd 0.500 0.791 0.930  0.02
13 Pd 0.500 0.070 0.791  0.02
14 Pd 0.500 0.709 0.430  0.02
15 Pd 0.500 0.930 0.209  0.02
16 Pd 0.500 0.291 0.570  0.02
17 Pd 0.500 0.570 0.709  0.02
18 Pd 0.500 0.430 0.291  0.02
19 Pd 0.500 0.500 0.000  0.04
20 Pd 0.500 0.000 0.500  0.04

---

Entry 8:
Here is crystalline BeTlPd2 at its relaxed geometry from Alexandria. Energies are from PBE-GGA.

DFT formation energy = -0.2577 eV per atom
M_tot = 0.00 μB/cell
Crystal system = tetragonal
Total energy = -0.161 Ha/atom

Lattice parameters (Å, degrees): 2.925 2.925 7.267 90.00 90.00 90.00
Fractional positions:
1 Be 0.500 0.500 0.000
2 Tl 0.500 0.500 0.500
3 Pd 0.000 0.000 0.810
4 Pd 0.000 0.000 0.190

---

Entry 9:
Here is crystalline Be2TlPd2 at its relaxed geometry from Alexandria. Energies are from PBE-GGA.

DFT formation energy = -0.2143 eV per atom
M_tot = 0.00 μB/cell
Crystal system = tetragonal
Offset from the most stable computed form = 0.00 eV/f.u.
Total energy = -0.156 Ha/atom

Lattice parameters (Å, degrees): 6.822 6.822 2.999 90.00 90.00 90.00
Fractional positions:
1 Be 0.380 0.880 0.000
2 Be 0.880 0.620 0.000
3 Be 0.620 0.120 0.000
4 Be 0.120 0.380 0.000
5 Tl 0.000 0.000 0.000
6 Tl 0.500 0.500 0.000
7 Pd 0.156 0.656 0.500
8 Pd 0.656 0.844 0.500
9 Pd 0.844 0.344 0.500
10 Pd 0.344 0.156 0.500

---

Entry 10:
Here is crystalline Be2TlPd at its relaxed geometry from Alexandria. Energies are from PBE-GGA.

DFT formation energy = 0.2049 eV per atom
M_tot = 0.00 μB/cell
Crystal system = cubic
Offset from the most stable computed form = 0.00 eV/f.u.
Total energy = -0.130 Ha/atom

Lattice parameters (Å, degrees): 4.276 4.276 4.276 60.00 60.00 60.00
Fractional positions:
1 Be 0.250 0.250 0.250
2 Be 0.750 0.750 0.750
3 Tl 0.500 0.500 0.500
4 Pd 0.000 0.000 0.000

---

Entry 11:
Here is crystalline BeTlPd3 at its relaxed geometry from Alexandria. Energies are from PBE-GGA.

DFT formation energy = -0.1839 eV per atom
M_tot = 0.00 μB/cell
Crystal system = cubic
Offset from the most stable computed form = 0.00 eV/f.u.
Total energy = -0.166 Ha/atom

Lattice parameters (Å, degrees): 4.325 4.325 4.325 90.00 90.00 90.00
Fractional positions:
1 Be 0.000 0.000 0.000
2 Tl 0.500 0.500 0.500
3 Pd 0.000 0.500 0.000
4 Pd 0.000 0.000 0.500
5 Pd 0.500 0.000 0.000

---

Entry 12:
Here is crystalline BeTlPd4 at its relaxed geometry from Alexandria. Energies are from PBE-GGA.

DFT formation energy = -0.1915 eV per atom
M_tot = 0.00 μB/cell
Crystal system = monoclinic
Total energy = -0.172 Ha/atom

Lattice parameters (Å, degrees): 4.606 5.342 7.993 90.00 84.89 90.00
Fractional positions:
1 Be 0.500 0.000 0.500
2 Be 0.000 0.500 0.500
3 Tl 0.000 0.000 0.000
4 Tl 0.500 0.500 0.000
5 Pd 0.971 0.598 0.221
6 Pd 0.529 0.098 0.779
7 Pd 0.454 0.388 0.355
8 Pd 0.046 0.888 0.645
9 Pd 0.029 0.402 0.779
10 Pd 0.471 0.902 0.221
11 Pd 0.546 0.612 0.645
12 Pd 0.954 0.112 0.355

---

Entry 13:
Here is crystalline BeTlPd2 at its relaxed geometry from Alexandria. Energies are from PBE-GGA.

DFT formation energy = -0.2300 eV per atom
M_tot = 0.00 μB/cell
Crystal system = trigonal
Total energy = -0.160 Ha/atom

Lattice parameters (Å, degrees): 3.412 3.412 6.857 75.59 75.59 60.00
Fractional positions:
1 Be 0.000 0.000 0.000
2 Tl 0.500 0.500 0.500
3 Pd 0.723 0.723 0.830
4 Pd 0.277 0.277 0.170

---

Entry 14:
Here is crystalline Be2TlPd2 at its relaxed geometry from Alexandria. Energies are from PBE-GGA.

DFT formation energy = -0.1403 eV per atom
M_tot = 0.00 μB/cell
Crystal system = tetragonal
Offset from the most stable computed form = 0.37 eV/f.u.
Total energy = -0.154 Ha/atom

Lattice parameters (Å, degrees): 7.100 7.100 2.902 90.00 90.00 90.00
Fractional positions:
1 Be 0.130 0.630 0.500
2 Be 0.630 0.870 0.500
3 Be 0.870 0.370 0.500
4 Be 0.370 0.130 0.500
5 Tl 0.000 0.000 0.000
6 Tl 0.500 0.500 0.000
7 Pd 0.354 0.854 0.000
8 Pd 0.854 0.646 0.000
9 Pd 0.646 0.146 0.000
10 Pd 0.146 0.354 0.000

---

Entry 15:
Here is crystalline BeTlPd2 at its relaxed geometry from Alexandria. Energies are from PBE-GGA.

DFT formation energy = 0.1696 eV per atom
M_tot = 0.00 μB/cell
Crystal system = tetragonal
Total energy = -0.145 Ha/atom

Lattice parameters (Å, degrees): 4.794 4.794 7.882 72.30 72.30 90.00
Fractional positions:
1 Be 0.500 0.500 0.000
2 Be 0.250 0.750 0.500
3 Tl 0.000 0.000 0.000
4 Tl 0.750 0.250 0.500
5 Pd 0.505 0.125 0.250
6 Pd 0.245 0.625 0.250
7 Pd 0.375 0.495 0.750
8 Pd 0.875 0.755 0.750

---

Entry 16:
Here is crystalline BeTlPd3 at its relaxed geometry from Alexandria. Energies are from PBE-GGA.

DFT formation energy = 1.2243 eV per atom
M_tot = 0.00 μB/cell
Crystal system = cubic
Offset from the most stable computed form = 7.04 eV/f.u.
Total energy = -0.114 Ha/atom

Lattice parameters (Å, degrees): 5.018 5.018 5.018 90.00 90.00 90.00
Fractional positions:
1 Be 0.500 0.500 0.500
2 Tl 0.000 0.000 0.000
3 Pd 0.000 0.500 0.000
4 Pd 0.000 0.000 0.500
5 Pd 0.500 0.000 0.000

---

Entry 17:
Here is crystalline Be2TlPd at its relaxed geometry from Alexandria. Energies are from PBE-GGA.

DFT formation energy = 0.3060 eV per atom
M_tot = 0.00 μB/cell
Crystal system = tetragonal
Offset from the most stable computed form = 0.40 eV/f.u.
Total energy = -0.127 Ha/atom

Lattice parameters (Å, degrees): 4.349 4.349 8.314 74.84 74.84 90.00
Fractional positions:
1 Be 0.375 0.125 0.250
2 Be 0.375 0.625 0.250
3 Be 0.375 0.625 0.750
4 Be 0.875 0.625 0.750
5 Tl 0.000 0.000 0.000
6 Tl 0.750 0.250 0.500
7 Pd 0.500 0.500 0.000
8 Pd 0.250 0.750 0.500

---

Entry 18:
Here is crystalline Be2TlPd2 at its relaxed geometry from Alexandria. Energies are from PBE-GGA.

DFT formation energy = -0.1818 eV per atom
M_tot = 0.00 μB/cell
Crystal system = tetragonal
Offset from the most stable computed form = 0.16 eV/f.u.
Total energy = -0.155 Ha/atom

Lattice parameters (Å, degrees): 3.362 3.362 7.042 76.19 76.19 90.00
Fractional positions:
1 Be 0.750 0.250 0.500
2 Be 0.250 0.750 0.500
3 Tl 0.000 0.000 0.000
4 Pd 0.373 0.373 0.254
5 Pd 0.627 0.627 0.746

---

Entry 19:
Here is crystalline BeTl2Pd8 at its relaxed geometry from Alexandria. Energies are from PBE-GGA.

DFT formation energy = -0.1916 eV per atom
M_tot = 0.00 μB/cell
Crystal system = monoclinic
Total energy = -0.174 Ha/atom

Lattice parameters (Å, degrees): 4.631 5.890 7.574 112.84 107.80 90.00
Fractional positions:
1 Be 0.500 0.000 0.000
2 Tl 0.812 0.313 0.625
3 Tl 0.188 0.687 0.375
4 Pd 0.376 0.619 0.752
5 Pd 0.625 0.869 0.249
6 Pd 0.820 0.820 0.640
7 Pd 0.000 0.245 0.000
8 Pd 0.180 0.180 0.360
9 Pd 0.375 0.131 0.751
10 Pd 0.624 0.381 0.248
11 Pd 0.000 0.755 0.000

---

Entry 20:
Here is crystalline TmBePd4 at its relaxed geometry from Alexandria. Energies are from PBE-GGA.

DFT formation energy = -0.4693 eV per atom
M_tot = 0.00 μB/cell
Crystal system = monoclinic
Total energy = -0.195 Ha/atom

Lattice parameters (Å, degrees): 3.274 4.755 7.277 72.55 77.00 69.86
Fractional positions:
1 Tm 0.500 0.500 0.500
2 Be 0.000 0.000 0.000
3 Pd 0.621 0.660 0.098
4 Pd 0.379 0.340 0.902
5 Pd 0.162 0.997 0.678
6 Pd 0.838 0.003 0.322